# PBE-GGA Co3Tc5H12, relaxed
data_Co3Tc5H12
_symmetry_space_group_name_H-M 'I a -3 d'
_symmetry_Int_Tables_number 230
_symmetry_space_group_name_Hall '-I 4bd 2c 3'
_cell_length_a 10.430
_cell_length_b 10.430
_cell_length_c 10.430
_cell_angle_alpha 90.00
_cell_angle_beta 90.00
_cell_angle_gamma 90.00
loop_
_atom_site_label
_atom_site_fract_x
_atom_site_fract_y
_atom_site_fract_z
Co1 0.000 0.250 0.125
Tc1 0.000 0.000 0.000
Tc2 0.000 0.250 0.375
H1 0.005 0.079 0.656
# total DFT energy (no corrections)	-5.40	eV/atom



# PBE-GGA NaBi2O4, relaxed
data_NaBi2O4
_symmetry_space_group_name_H-M 'I -4 2 d'
_symmetry_Int_Tables_number 122
_symmetry_space_group_name_Hall 'I -4 2bw'
_cell_length_a 7.959
_cell_length_b 7.959
_cell_length_c 6.911
_cell_angle_alpha 90.00
_cell_angle_beta 90.00
_cell_angle_gamma 90.00
loop_
_atom_site_label
_atom_site_fract_x
_atom_site_fract_y
_atom_site_fract_z
Na1 0.000 0.000 0.000
Bi1 0.201 0.750 0.625
O1 0.041 0.735 0.886
# formation energy from raw total energies	-8.05	eV/f.u.
# energy relative to the lowest polymorph listed for this composition	54.8	meV/atom



# PBE-GGA EuHg2Ge, relaxed
data_EuHg2Ge
_symmetry_space_group_name_H-M 'F m -3 m'
_symmetry_Int_Tables_number 225
_symmetry_space_group_name_Hall '-F 4 2 3'
_cell_length_a 7.366
_cell_length_b 7.366
_cell_length_c 7.366
_cell_angle_alpha 90.00
_cell_angle_beta 90.00
_cell_angle_gamma 90.00
loop_
_atom_site_label
_atom_site_fract_x
_atom_site_fract_y
_atom_site_fract_z
Eu1 0.000 0.000 0.000
Hg1 0.250 0.250 0.250
Ge1 0.000 0.000 0.500
# energy relative to the lowest polymorph listed for this composition	19.8	meV/atom
# ΔH_f (0 K)	-0.2896	eV/atom



# PBE-GGA CeY3Tm7, relaxed
data_CeY3Tm7
_symmetry_space_group_name_H-M 'P 3 m 1'
_symmetry_Int_Tables_number 156
_symmetry_space_group_name_Hall 'P 3 -2"'
_cell_length_a 6.9533
_cell_length_b 6.9533
_cell_length_c 8.5623
_cell_angle_alpha 90.00
_cell_angle_beta 90.00
_cell_angle_gamma 120.00
loop_
_atom_site_label
_atom_site_fract_x
_atom_site_fract_y
_atom_site_fract_z
Ce1 0.0000 0.0000 0.0000
Y1 0.1657 0.3314 0.3368
Tm1 0.0011 0.5006 0.0010
Tm2 0.3289 0.1644 0.6758
Tm3 0.3333 0.6667 0.6721
# ΔH_f (0 K)	0.2107	eV/atom



Which formula does entry 2 have?
NaBi2O4